Cr2CuF | PBE with a Hubbard U | optimized geometry

Polymorph energy (0 for the lowest one) in kJ per mole of atoms: 0.00
Size of the total moment in μB per cell: 38.14

a b c (Å): 6.5046 6.5046 6.1855
angles (deg): 90.00 90.00 90.00
Closest atoms and distances in Å follow each position.
Space group I-42d (No. 122)
One atom of each set of equivalent atoms:
Cr (0.1985, 0.7500, 0.1250) x8  2 F 2.22
Cu (0.0000, 0.0000, 0.5000) x4  4 Cr 2.66
F (0.0000, 0.0000, 0.0000) x4  4 Cr 2.22